Below is Sc4Cd3W2N3 after structural relaxation, with properties calculated at the GGA-PBE level.

Structure (POSCAR):
```
Sc4Cd3W2N3
1.0
4.7955 -2.7960 0.0000
4.7955 2.7960 0.0000
-3.1980 0.0000 14.2081
Sc Cd W N
8 6 4 6
Direct
0.0330 0.1919 0.0870
0.1324 0.3059 0.4128
0.1919 0.0330 0.5870
0.3059 0.1324 0.9128
0.6941 0.8676 0.0872
0.8081 0.9670 0.4130
0.8676 0.6941 0.5872
0.9670 0.8081 0.9130
0.1170 0.8830 0.2500
0.2833 0.4166 0.7505
0.4166 0.2833 0.2505
0.5834 0.7167 0.7495
0.7167 0.5834 0.2495
0.8830 0.1170 0.7500
0.3545 0.5217 0.0671
0.4783 0.6455 0.4329
0.5217 0.3545 0.5671
0.6455 0.4783 0.9329
0.0000 0.5000 0.0000
0.1594 0.6708 0.5001
0.3292 0.8406 0.9999
0.5000 0.0000 0.5000
0.6708 0.1594 0.0001
0.8406 0.3292 0.4999
```

Computed properties:
The total energy is -7.32 eV per atom. The size of the total moment is 0.00 μB/cell. The crystal system is monoclinic. Its space-group type is No. 15.



Below is Y4Sc2Cd3N3 after structural relaxation, with properties calculated at the GGA-PBE level.

Structure (POSCAR):
```
Y4Sc2Cd3N3
1.0
5.1352 -2.9661 0.0000
5.1352 2.9661 0.0000
-3.4355 0.0000 15.4352
Y Sc Cd N
8 4 6 6
Direct
0.0352 0.1921 0.0899
0.1315 0.3031 0.4101
0.1921 0.0352 0.5899
0.3031 0.1315 0.9101
0.6969 0.8685 0.0899
0.8079 0.9648 0.4101
0.8685 0.6969 0.5899
0.9648 0.8079 0.9101
0.3527 0.5242 0.0724
0.4758 0.6473 0.4276
0.5242 0.3527 0.5724
0.6473 0.4758 0.9276
0.1266 0.8734 0.2500
0.2923 0.4173 0.7508
0.4173 0.2923 0.2508
0.5827 0.7077 0.7492
0.7077 0.5827 0.2492
0.8734 0.1266 0.7500
0.0000 0.5000 0.0000
0.1792 0.6606 0.5000
0.3394 0.8208 0.0000
0.5000 0.0000 0.5000
0.6606 0.1792 0.0000
0.8208 0.3394 0.5000
```

Computed properties:
The total energy is -6.47 eV per atom. The size of the total moment is 2.34 μB/cell. The crystal system is monoclinic. Its space-group type is No. 15.



Below is Y2Sc4Cd3N3 after structural relaxation, with properties calculated at the GGA-PBE level.

Structure (POSCAR):
```
Y2Sc4Cd3N3
1.0
4.9949 -2.8858 0.0000
4.9949 2.8858 0.0000
-3.3403 0.0000 14.9722
Y Sc Cd N
4 8 6 6
Direct
0.0348 0.8724 0.6033
0.1276 0.9652 0.8967
0.8724 0.0348 0.1033
0.9652 0.1276 0.3967
0.1910 0.3520 0.0752
0.3017 0.4818 0.4248
0.3520 0.1910 0.5752
0.4818 0.3017 0.9248
0.5182 0.6983 0.0752
0.6480 0.8090 0.4248
0.6983 0.5182 0.5752
0.8090 0.6480 0.9248
0.0840 0.3834 0.7502
0.3834 0.0840 0.2502
0.4498 0.5502 0.2500
0.5502 0.4498 0.7500
0.6166 0.9160 0.7498
0.9160 0.6166 0.2498
0.0000 0.5000 0.5000
0.1700 0.6599 0.0000
0.3401 0.8300 0.5000
0.5000 0.0000 0.0000
0.6599 0.1700 0.5000
0.8300 0.3401 0.0000
```

Computed properties:
The total energy is -6.53 eV per atom. The size of the total moment is 0.14 μB/cell. The crystal system is monoclinic. Its space-group type is No. 15.